(1)
Computed, not measured: a geometry-optimized TbThIr structure at the PBE-GGA level of DFT.

Values from the calculation:
The density of states at the Fermi level comes out at 1.29 states/eV/atom. As for the crystal system: trigonal. Its total energy is -7.5294 eV per atom. The calculation puts the formation energy from the elements at -53.9 kJ per mole of atoms. The relative energy among the computed polymorphs comes out at 47 meV/atom.

```
data_TbThIr
_cell_length_a 4.1121
_cell_length_b 4.1121
_cell_length_c 6.2396
_cell_angle_alpha 90.00
_cell_angle_beta 90.00
_cell_angle_gamma 120.00
_space_group_name_H-M_alt 'P 3 m 1'
_space_group_IT_number 156
loop_
_space_group_symop_operation_xyz
'x,y,z'
'-y,x-y,z'
'-x+y,-x,z'
'-y,-x,z'
'-x+y,y,z'
'x,x-y,z'
loop_
_atom_site_label
_atom_site_fract_x
_atom_site_fract_y
_atom_site_fract_z
_atom_site_occupancy
Tb1 0.0000 0.0000 0.0000 1
Th1 0.6667 0.3333 0.4846 1
Ir1 0.3333 0.6667 0.2479 1
```

=====

(2)
Computed, not measured: a geometry-optimized TbThZn structure at the PBE-GGA level of DFT.

Values from the calculation:
The density of states at the Fermi level comes out at 0.98 states/eV/atom. As for the crystal system: tetragonal. Its total energy is -4.5809 eV per atom. The calculation puts the formation energy from the elements at -13.5 kJ per mole of atoms. The relative energy among the computed polymorphs comes out at 0 meV/atom.

```
data_TbThZn
_cell_length_a 3.5962
_cell_length_b 3.5962
_cell_length_c 12.4905
_cell_angle_alpha 90.00
_cell_angle_beta 90.00
_cell_angle_gamma 90.00
_space_group_name_H-M_alt 'I 4 m m'
_space_group_IT_number 107
_space_group_name_Hall 'I 4 -2'
loop_
_atom_site_label
_atom_site_fract_x
_atom_site_fract_y
_atom_site_fract_z
_atom_site_occupancy
Tb1 0.0000 0.0000 0.0000 1
Th1 0.0000 0.0000 0.2990 1
Zn1 0.0000 0.0000 0.6411 1
```

=====

(3)
Computed, not measured: a geometry-optimized TmZrFe2 structure at the PBE-GGA level of DFT.

Values from the calculation:
The density of states at the Fermi level comes out at 0.95 states/eV/atom. As for the crystal system: cubic. Its total energy is -7.5067 eV per atom. The calculation puts the formation energy from the elements at -2.0 kJ per mole of atoms. The relative energy among the computed polymorphs comes out at 19 meV/atom.

```
data_TmZrFe2
_cell_length_a 6.4296
_cell_length_b 6.4296
_cell_length_c 6.4296
_cell_angle_alpha 90.00
_cell_angle_beta 90.00
_cell_angle_gamma 90.00
_space_group_name_H-M_alt 'F m -3 m'
_space_group_IT_number 225
_space_group_name_Hall '-F 4 2 3'
loop_
_atom_site_label
_atom_site_fract_x
_atom_site_fract_y
_atom_site_fract_z
_atom_site_occupancy
Tm1 0.0000 0.0000 0.0000 1
Zr1 0.0000 0.0000 0.5000 1
Fe1 0.2500 0.2500 0.2500 1
```

=====

(4)
Computed, not measured: a geometry-optimized La2HgPd structure at the PBE-GGA level of DFT.

Values from the calculation:
The density of states at the Fermi level comes out at 1.50 states/eV/atom. As for the crystal system: tetragonal. Its total energy is -4.2006 eV per atom. The calculation puts the formation energy from the elements at -35.0 kJ per mole of atoms.

```
data_La2HgPd
_cell_length_a 8.2529
_cell_length_b 8.2529
_cell_length_c 6.9784
_cell_angle_alpha 90.00
_cell_angle_beta 90.00
_cell_angle_gamma 90.00
_space_group_name_H-M_alt 'I -4 2 d'
_space_group_IT_number 122
_space_group_name_Hall 'I -4 2bw'
loop_
_atom_site_label
_atom_site_fract_x
_atom_site_fract_y
_atom_site_fract_z
_atom_site_occupancy
La1 0.2119 0.2500 0.1250 1
Hg1 0.0000 0.0000 0.5000 1
Pd1 0.0000 0.0000 0.0000 1
```

=====

(5)
Computed, not measured: a geometry-optimized SrPd2Pb structure at the PBE-GGA level of DFT.

Values from the calculation:
The density of states at the Fermi level comes out at 0.66 states/eV/atom. As for the crystal system: orthorhombic. Its total energy is -4.1914 eV per atom. The calculation puts the formation energy from the elements at -23.9 kJ per mole of atoms.

```
data_SrPd2Pb
_cell_length_a 5.7428
_cell_length_b 5.8495
_cell_length_c 13.3121
_cell_angle_alpha 90.00
_cell_angle_beta 90.00
_cell_angle_gamma 90.00
_space_group_name_H-M_alt 'P m m a'
_space_group_IT_number 51
loop_
_space_group_symop_operation_xyz
'x,y,z'
'-x,-y,-z'
'-x+1/2,-y,z'
'x+1/2,y,-z'
'x+1/2,-y,-z'
'-x+1/2,y,z'
'-x,y,-z'
'x,-y,z'
loop_
_atom_site_label
_atom_site_fract_x
_atom_site_fract_y
_atom_site_fract_z
_atom_site_occupancy
Sr1 0.2500 0.0000 0.0839 1
Sr2 0.2500 0.5000 0.3963 1
Pd1 0.0000 0.0000 0.5000 1
Pd2 0.0000 0.5000 0.0000 1
Pd3 0.2500 0.2668 0.6267 1
Pb1 0.2500 0.0000 0.7921 1
Pb2 0.2500 0.5000 0.8228 1
```

=====

(6)
Computed, not measured: a geometry-optimized Sr8Ag2Pt3 structure at the PBE-GGA level of DFT.

Values from the calculation:
The density of states at the Fermi level comes out at 0.42 states/eV/atom. As for the crystal system: monoclinic. Its total energy is -3.3569 eV per atom. The calculation puts the formation energy from the elements at -47.2 kJ per mole of atoms.

```
data_Sr8Ag2Pt3
_cell_length_a 9.3703
_cell_length_b 5.3290
_cell_length_c 9.3904
_cell_angle_alpha 90.00
_cell_angle_beta 110.06
_cell_angle_gamma 90.00
_space_group_name_H-M_alt 'P 1 2/m 1'
_space_group_IT_number 10
loop_
_space_group_symop_operation_xyz
'x,y,z'
'-x,-y,-z'
'-x,y,-z'
'x,-y,z'
loop_
_atom_site_label
_atom_site_fract_x
_atom_site_fract_y
_atom_site_fract_z
_atom_site_occupancy
Sr1 0.1143 0.0000 0.3859 1
Sr2 0.1276 0.5000 0.8603 1
Sr3 0.3605 0.5000 0.6275 1
Sr4 0.3817 0.0000 0.1182 1
Ag1 0.2519 0.5000 0.2483 1
Pt1 0.0000 0.5000 0.5000 1
Pt2 0.2582 0.0000 0.7583 1
```

=====

(7)
Computed, not measured: a geometry-optimized Y3NpP4 structure at the PBE-GGA level of DFT.

Values from the calculation:
The density of states at the Fermi level comes out at 1.42 states/eV/atom. As for the crystal system: monoclinic. Its total energy is -8.1801 eV per atom. The calculation puts the formation energy from the elements at -138.3 kJ per mole of atoms.

```
data_Y3NpP4
_cell_length_a 6.9188
_cell_length_b 7.9873
_cell_length_c 6.9163
_cell_angle_alpha 90.00
_cell_angle_beta 109.51
_cell_angle_gamma 90.00
_space_group_name_H-M_alt 'P 1 2/c 1'
_space_group_IT_number 13
loop_
_space_group_symop_operation_xyz
'x,y,z'
'-x,-y,-z'
'-x,y,-z+1/2'
'x,-y,z+1/2'
loop_
_atom_site_label
_atom_site_fract_x
_atom_site_fract_y
_atom_site_fract_z
_atom_site_occupancy
Y1 0.0000 0.1236 0.2500 1
Y2 0.0000 0.3735 0.7500 1
Y3 0.5000 0.1241 0.7500 1
Np1 0.5000 0.3744 0.2500 1
P1 0.2520 0.1284 0.0042 1
P2 0.2568 0.3786 0.4989 1
```

=====

(8)
Computed, not measured: a geometry-optimized SrHg6Au2 structure at the PBE-GGA level of DFT.

Values from the calculation:
The density of states at the Fermi level comes out at 0.29 states/eV/atom. As for the crystal system: monoclinic. Its total energy is -1.2288 eV per atom. The calculation puts the formation energy from the elements at -10.8 kJ per mole of atoms. The relative energy among the computed polymorphs comes out at 100 meV/atom.

```
data_SrHg6Au2
_cell_length_a 13.2595
_cell_length_b 9.9959
_cell_length_c 3.7067
_cell_angle_alpha 90.00
_cell_angle_beta 105.78
_cell_angle_gamma 90.00
_space_group_name_H-M_alt 'C 1 2/m 1'
_space_group_IT_number 12
loop_
_space_group_symop_operation_xyz
'x,y,z'
'-x,-y,-z'
'-x,y,-z'
'x,-y,z'
'x+1/2,y+1/2,z'
'-x+1/2,-y+1/2,-z'
'-x+1/2,y+1/2,-z'
'x+1/2,-y+1/2,z'
loop_
_atom_site_label
_atom_site_fract_x
_atom_site_fract_y
_atom_site_fract_z
_atom_site_occupancy
Sr1 0.0000 0.0000 0.0000 1
Hg1 0.0000 0.3043 0.5000 1
Hg2 0.2002 0.1502 0.7014 1
Au1 0.1081 0.5000 0.1065 1
```

=====

(9)
Computed, not measured: a geometry-optimized BC2 structure at the PBE-GGA level of DFT.

Values from the calculation:
The density of states at the Fermi level comes out at 0.17 states/eV/atom. As for the crystal system: monoclinic. Its total energy is -8.0514 eV per atom. The calculation puts the formation energy from the elements at 31.2 kJ per mole of atoms. The relative energy among the computed polymorphs comes out at 84 meV/atom.

```
data_BC2
_cell_length_a 11.7935
_cell_length_b 2.5926
_cell_length_c 5.2905
_cell_angle_alpha 90.00
_cell_angle_beta 103.64
_cell_angle_gamma 90.00
_space_group_name_H-M_alt 'C 1 2/m 1'
_space_group_IT_number 12
loop_
_space_group_symop_operation_xyz
'x,y,z'
'-x,-y,-z'
'-x,y,-z'
'x,-y,z'
'x+1/2,y+1/2,z'
'-x+1/2,-y+1/2,-z'
'-x+1/2,y+1/2,-z'
'x+1/2,-y+1/2,z'
loop_
_atom_site_label
_atom_site_fract_x
_atom_site_fract_y
_atom_site_fract_z
_atom_site_occupancy
B1 0.0585 0.0000 0.3475 1
B2 0.2027 0.5000 0.7283 1
C1 0.0465 0.0000 0.9054 1
C2 0.1224 0.5000 0.9413 1
C3 0.1295 0.5000 0.4294 1
C4 0.2005 0.5000 0.2225 1
```

=====

(10)
Computed, not measured: a geometry-optimized SiAs2Pd8 structure at the PBE-GGA level of DFT.

Values from the calculation:
The density of states at the Fermi level comes out at 0.45 states/eV/atom. As for the crystal system: monoclinic. As for the energy relative to the elements, uncorrected: -0.43 eV/atom. Its total energy is -5.5477 eV per atom.

```
data_SiAs2Pd8
_cell_length_a 14.4662
_cell_length_b 4.1323
_cell_length_c 6.1022
_cell_angle_alpha 90.00
_cell_angle_beta 111.48
_cell_angle_gamma 90.00
_space_group_name_H-M_alt 'C 1 2/m 1'
_space_group_IT_number 12
loop_
_space_group_symop_operation_xyz
'x,y,z'
'-x,-y,-z'
'-x,y,-z'
'x,-y,z'
'x+1/2,y+1/2,z'
'-x+1/2,-y+1/2,-z'
'-x+1/2,y+1/2,-z'
'x+1/2,-y+1/2,z'
loop_
_atom_site_label
_atom_site_fract_x
_atom_site_fract_y
_atom_site_fract_z
_atom_site_occupancy
Si1 0.0000 0.0000 0.0000 1
As1 0.1758 0.5000 0.6829 1
Pd1 0.0301 0.5000 0.8084 1
Pd2 0.0884 0.0000 0.4428 1
Pd3 0.1691 0.0000 0.9603 1
Pd4 0.1946 0.5000 0.2991 1
```

=====

(11)
Computed, not measured: a geometry-optimized GaMo2I structure at the PBE-GGA level of DFT.

Values from the calculation:
The density of states at the Fermi level comes out at 0.79 states/eV/atom. As for the crystal system: cubic. As for the energy relative to the elements, uncorrected: 0.69 eV/atom. Its total energy is -5.8662 eV per atom. The relative energy among the computed polymorphs comes out at 0 meV/atom.

```
data_GaMo2I
_cell_length_a 6.4819
_cell_length_b 6.4819
_cell_length_c 6.4819
_cell_angle_alpha 90.00
_cell_angle_beta 90.00
_cell_angle_gamma 90.00
_space_group_name_H-M_alt 'F m -3 m'
_space_group_IT_number 225
_space_group_name_Hall '-F 4 2 3'
loop_
_atom_site_label
_atom_site_fract_x
_atom_site_fract_y
_atom_site_fract_z
_atom_site_occupancy
Ga1 0.0000 0.0000 0.0000 1
Mo1 0.2500 0.2500 0.2500 1
I1 0.0000 0.0000 0.5000 1
```

=====

(12)
Computed, not measured: a geometry-optimized NaTcPt structure at the PBE-GGA level of DFT.

Values from the calculation:
The density of states at the Fermi level comes out at 0.56 states/eV/atom. As for the crystal system: triclinic. Its total energy is -5.7071 eV per atom. The calculation puts the formation energy from the elements at 19.4 kJ per mole of atoms. The relative energy among the computed polymorphs comes out at 154 meV/atom.

```
data_NaTcPt
_cell_length_a 2.7554
_cell_length_b 5.1656
_cell_length_c 7.5303
_cell_angle_alpha 108.51
_cell_angle_beta 99.76
_cell_angle_gamma 90.28
_space_group_name_H-M_alt 'P 1'
_space_group_IT_number 1
loop_
_space_group_symop_operation_xyz
'x,y,z'
loop_
_atom_site_label
_atom_site_fract_x
_atom_site_fract_y
_atom_site_fract_z
_atom_site_occupancy
Na1 0.0000 0.0000 0.0000 1
Na2 0.3415 0.7713 0.6658 1
Tc1 0.5377 0.5377 0.0812 1
Tc2 0.6591 0.3919 0.3357 1
Pt1 0.1625 0.9452 0.3564 1
Pt2 0.8815 0.3174 0.7467 1
```